Density functional theory data (PBE+U) for a relaxed Np2MnO7 crystal.

## Properties
E   -9.23 eV per atom
Crystal system   monoclinic

POSCAR file:
```
Np2MnO7
1.0
-3.295 -0.974 1.638
0.005 -2.291 3.034
-0.499 6.703 7.469
O Np Mn
7 2 1
direct
0.000 0.000 0.000
0.278 0.279 0.164
0.862 0.862 0.414
0.423 0.423 0.730
0.577 0.577 0.270
0.722 0.721 0.836
0.138 0.138 0.586
0.930 0.930 0.210
0.070 0.070 0.790
0.500 0.500 0.500
```